No. 1
NiBr3 | Alexandria | PBE | relaxed; formation energy from raw total energies = -64 meV per atom; magnetic moment = 0.368 μB per formula unit; volume = 143.5 Å³/cell; raw total energy = -11.06 eV/f.u.; SG = Cmmm, No. 65
1.0
1.6188 -4.5540 0.0000
1.6188 4.5540 0.0000
0.0000 0.0000 9.7319
Ni Br
1 3
Cartesian
0.0000 0.0000 0.0000
0.0000 0.0000 4.8659
1.6188 0.0000 1.6291
1.6188 0.0000 8.1028

=====

No. 2
Ho2PuZrS4 | Alexandria | PBE | relaxed; formation energy from raw total energies = -1791 meV per atom; magnetic moment = 5.514 μB per formula unit; volume = 161.4 Å³/cell; raw total energy = -62.88 eV/f.u.; SG = P2/m, No. 10
1.0
6.6311 0.0000 0.0000
0.0000 3.8381 0.0000
-2.2064 0.0000 6.3417
Ho Pu Zr S
2 1 1 4
Cartesian
0.0000 0.0000 0.0000
3.3155 1.9190 0.0000
-1.1032 1.9190 3.1708
2.2123 0.0000 3.1708
0.0385 0.0000 4.7583
1.1433 1.9190 1.6110
3.2813 1.9190 4.7307
4.3861 0.0000 1.5834

=====

No. 3
CaYZr3 | Alexandria | PBE | relaxed; excess energy over the best structure of this formula in the dataset = 186 meV/atom; magnetic moment = 2.731 μB per formula unit; volume = 141.2 Å³/cell; raw total energy = -27.65 eV/f.u.; SG = Pm-3m, No. 221; formation enthalpy at 0 K = 1.29 eV per atom
1.0
5.2079 0.0000 0.0000
0.0000 5.2079 0.0000
0.0000 0.0000 5.2079
Ca Y Zr
1 1 3
Cartesian
0.0000 0.0000 0.0000
2.6039 2.6039 2.6039
0.0000 0.0000 2.6039
0.0000 2.6039 0.0000
2.6039 0.0000 0.0000

=====

No. 4
ScPaRh6 | Alexandria | PBE | relaxed; magnetic moment = 0.000 μB per formula unit; volume = 128.7 Å³/cell; raw total energy = -65.06 eV/f.u.; SG = C2/m, No. 12; formation enthalpy at 0 K = -0.64 eV per atom
1.0
4.4571 -2.0177 0.0000
4.4571 2.0177 0.0000
-3.6744 0.0000 7.1527
Sc Pa Rh
1 1 6
Cartesian
0.0000 0.0000 0.0000
-1.8372 0.0000 3.5763
-1.0182 0.0000 6.2623
0.8722 0.0000 2.6783
1.6712 0.0000 5.4134
3.5686 0.0000 1.7392
4.3676 0.0000 4.4744
6.2580 0.0000 0.8904